Record 1
VASP calculation (meta-GGA SCAN) on a crystal of CrBiF2 relaxed with PBEsol.

Values from the calculation:
Magnetization (μB/f.u.): 3.9
Relative energy among the computed polymorphs (eV/atom): 0.0000
Formation energy without anion corrections (kJ per mole of atoms): -133.88
Calculated total energy (eV/atom): -27.3986

abc: 6.079 6.079 6.079
angles: 118.83 118.83 92.04
Sites, in units of the cell vectors:
Cr: 0.000 0.000 0.000
Cr: 0.750 0.250 0.500
Bi: 0.250 0.750 0.500
Bi: 0.500 0.500 0.000
F: 0.375 0.068 0.193
F: 0.818 0.625 0.693
F: 0.875 0.182 0.807
F: 0.932 0.125 0.307

Record 2
VASP calculation (meta-GGA SCAN) on a crystal of CrBiF2 relaxed with PBEsol.

Values from the calculation:
Magnetization (μB/f.u.): 4.2
Relative energy among the computed polymorphs (eV/atom): 0.0596
Formation energy without anion corrections (kJ per mole of atoms): -128.14
Calculated total energy (eV/atom): -27.3391

abc: 8.165 8.165 8.165
angles: 22.67 22.67 22.67
Sites, in units of the cell vectors:
Cr: 0.000 0.000 0.000
Bi: 0.500 0.500 0.500
F: 0.080 0.080 0.080
F: 0.920 0.920 0.920